4
Lattice="8.049 -0.011 -0.006 7.559 2.767 -0.006 7.559 1.335 2.424" Properties=species:S:1:pos:R:3 comment="Cu2PPt, optimized geometry, DFT PBE" formation_energy_mev_per_atom=13 total_magnetization_mub_per_cell=0.00 relative_energy_ev_per_atom=0.105 pbc="T T T"
Cu 23.004 4.063 2.394
Cu 11.746 2.074 1.223
P 5.792 1.023 0.603
Pt 17.375 3.069 1.808